Entry 1:
This record from Alexandria via LeMat-Bulk describes Ba2TeP after structural relaxation. The functional is PBE.

Lattice parameters (Å, degrees): 7.1007 7.1007 7.1007 140.71 140.71 56.78
Sites, in units of the cell vectors:
Ba: 0.0000 0.0000 0.0000
Ba: 0.7500 0.2500 0.5000
Te: 0.5000 0.5000 0.0000
P: 0.2500 0.7500 0.5000

Results
- Size of the total moment: 0.000 μB per atom
- Raw formation energy: -913.6 meV per atom
- Symmetry: No. 119
- D(E_F): 3.05 states/eV per cell

---

Entry 2:
This record from Alexandria via LeMat-Bulk describes Ba2TeP after structural relaxation. The functional is PBE.

Lattice parameters (Å, degrees): 3.7411 4.2304 8.5838 90.00 90.00 90.00
Sites, in units of the cell vectors:
Ba: 0.0000 0.0000 0.2270
Ba: 0.0000 0.0000 0.7730
Te: 0.5000 0.5000 0.5000
P: 0.5000 0.5000 0.0000

Results
- Size of the total moment: 0.000 μB per atom
- Raw formation energy: -1083.4 meV per atom
- Symmetry: No. 47
- D(E_F): 1.48 states/eV per cell

---

Entry 3:
This record from Alexandria via LeMat-Bulk describes Ba2TeP after structural relaxation. The functional is PBE.

Lattice parameters (Å, degrees): 8.5561 8.5561 8.5561 32.52 32.52 32.52
Sites, in units of the cell vectors:
Ba: 0.2444 0.2444 0.2444
Ba: 0.7556 0.7556 0.7556
Te: 0.0000 0.0000 0.0000
P: 0.5000 0.5000 0.5000

Results
- Size of the total moment: 0.232 μB per atom
- Raw formation energy: -1151.7 meV per atom
- Symmetry: No. 166
- D(E_F): 5.62 states/eV per cell

---

Entry 4:
This record from Alexandria via LeMat-Bulk describes Ba4Te2P after structural relaxation. The functional is PBE.

Lattice parameters (Å, degrees): 10.1003 10.1003 13.7820 90.00 90.00 90.00
Sites, in units of the cell vectors:
Ba: 0.0273 0.2330 0.2680
Ba: 0.0273 0.7670 0.2320
Ba: 0.2314 0.4641 0.5010
Ba: 0.2314 0.5359 0.9990
Ba: 0.2330 0.0273 0.4820
Ba: 0.2330 0.9727 0.0180
Ba: 0.4641 0.2314 0.2490
Ba: 0.4641 0.7686 0.2510
Ba: 0.5359 0.2314 0.7510
Ba: 0.5359 0.7686 0.7490
Ba: 0.7670 0.0273 0.5180
Ba: 0.7670 0.9727 0.9820
Ba: 0.7686 0.4641 0.4990
Ba: 0.7686 0.5359 0.0010
Ba: 0.9727 0.2330 0.7320
Ba: 0.9727 0.7670 0.7680
Te: 0.2464 0.2464 0.8750
Te: 0.2464 0.7536 0.6250
Te: 0.2481 0.5000 0.2500
Te: 0.5000 0.2481 0.5000
Te: 0.5000 0.7519 0.0000
Te: 0.7519 0.5000 0.7500
Te: 0.7536 0.2464 0.1250
Te: 0.7536 0.7536 0.3750
P: 0.0000 0.2475 0.5000
P: 0.0000 0.7525 0.0000
P: 0.2475 0.0000 0.2500
P: 0.7525 0.0000 0.7500

Results
- Size of the total moment: 0.000 μB per atom
- Raw formation energy: -1272.6 meV per atom
- Symmetry: No. 91
- D(E_F): 13.11 states/eV per cell

---

Entry 5:
This record from Alexandria via LeMat-Bulk describes Ba2TeP after structural relaxation. The functional is PBE.

Lattice parameters (Å, degrees): 5.2157 6.9230 6.9230 37.65 90.00 90.00
Sites, in units of the cell vectors:
Ba: 0.0000 0.0000 0.0000
Ba: 0.5000 0.2523 0.2523
Te: 0.5000 0.5237 0.5237
P: 0.0000 0.7595 0.7595

Results
- Size of the total moment: 0.244 μB per atom
- Raw formation energy: -1070.3 meV per atom
- Symmetry: No. 38
- D(E_F): 2.86 states/eV per cell

---

Entry 6:
This record from Alexandria via LeMat-Bulk describes Ba2TeP after structural relaxation. The functional is PBE.

Lattice parameters (Å, degrees): 5.6881 5.6881 5.6881 60.00 60.00 60.00
Sites, in units of the cell vectors:
Ba: 0.0000 0.0000 0.0000
Ba: 0.2500 0.2500 0.2500
Te: 0.7500 0.7500 0.7500
P: 0.5000 0.5000 0.5000

Results
- Size of the total moment: 0.000 μB per atom
- Raw formation energy: -449.6 meV per atom
- Symmetry: No. 216
- D(E_F): 4.41 states/eV per cell

---

Entry 7:
This record from Alexandria via LeMat-Bulk describes Ba2TeP after structural relaxation. The functional is PBE.

Lattice parameters (Å, degrees): 9.5755 9.5755 9.5755 135.36 135.36 64.98
Sites, in units of the cell vectors:
Ba: 0.0934 0.6250 0.9684
Ba: 0.3750 0.3434 0.4684
Ba: 0.6566 0.1250 0.0316
Ba: 0.8750 0.9066 0.5316
Te: 0.2500 0.7500 0.5000
Te: 0.5000 0.5000 0.0000
P: 0.0000 0.0000 0.0000
P: 0.7500 0.2500 0.5000

Results
- Size of the total moment: 0.250 μB per atom
- Raw formation energy: -887.0 meV per atom
- Symmetry: No. 122
- D(E_F): 3.62 states/eV per cell

---

Entry 8:
This record from Alexandria via LeMat-Bulk describes BaThP2 after structural relaxation. The functional is PBE.

Lattice parameters (Å, degrees): 7.7956 7.7956 7.7956 32.27 32.27 32.27
Sites, in units of the cell vectors:
Ba: 0.0000 0.0000 0.0000
Th: 0.5000 0.5000 0.5000
P: 0.2364 0.2364 0.2364
P: 0.7636 0.7636 0.7636

Results
- Size of the total moment: 0.000 μB per atom
- Symmetry: No. 166
- Energy of formation: -1.33 eV per atom

---

Entry 9:
This record from Alexandria via LeMat-Bulk describes BaTh2P3 after structural relaxation. The functional is PBE.

Lattice parameters (Å, degrees): 4.2390 4.2390 21.6372 90.00 90.00 120.00
Sites, in units of the cell vectors:
Ba: 0.0000 0.0000 0.2500
Ba: 0.0000 0.0000 0.7500
Th: 0.3333 0.6667 0.0783
Th: 0.3333 0.6667 0.4217
Th: 0.6667 0.3333 0.5783
Th: 0.6667 0.3333 0.9217
P: 0.0000 0.0000 0.0000
P: 0.0000 0.0000 0.5000
P: 0.3333 0.6667 0.6504
P: 0.3333 0.6667 0.8496
P: 0.6667 0.3333 0.1504
P: 0.6667 0.3333 0.3496

Results
- Size of the total moment: 0.000 μB per atom
- Symmetry: No. 194
- D(E_F): 3.87 states/eV per cell
- Energy of formation: -1.40 eV per atom

---

Entry 10:
This record from Alexandria via LeMat-Bulk describes BaThP2 after structural relaxation. The functional is PBE.

Lattice parameters (Å, degrees): 7.9691 7.9691 7.9691 31.23 31.23 31.23
Sites, in units of the cell vectors:
Ba: 0.0000 0.0000 0.0000
Th: 0.1703 0.1703 0.1703
P: 0.5734 0.5734 0.5734
P: 0.7674 0.7674 0.7674

Results
- Size of the total moment: 0.000 μB per atom
- Symmetry: No. 160
- Energy of formation: -1.25 eV per atom

---

Entry 11:
This record from Alexandria via LeMat-Bulk describes Ba3Th2UP6 after structural relaxation. The functional is PBE.

Lattice parameters (Å, degrees): 7.4053 7.4053 7.7394 99.18 99.18 119.99
Sites, in units of the cell vectors:
Ba: 0.0000 0.0000 0.0000
Ba: 0.3316 0.6684 0.0000
Ba: 0.6684 0.3316 0.0000
Th: 0.1664 0.8336 0.5000
Th: 0.8336 0.1664 0.5000
U: 0.5000 0.5000 0.5000
P: 0.1116 0.4322 0.2963
P: 0.2480 0.2480 0.7045
P: 0.4322 0.1116 0.2963
P: 0.5678 0.8884 0.7037
P: 0.7520 0.7520 0.2955
P: 0.8884 0.5678 0.7037

Results
- Size of the total moment: 0.138 μB per atom
- Symmetry: No. 12
- D(E_F): 5.76 states/eV per cell
- Energy of formation: -1.20 eV per atom

---

Entry 12:
This record from Alexandria via LeMat-Bulk describes Ba2ThUP4 after structural relaxation. The functional is PBE.

Lattice parameters (Å, degrees): 7.3749 4.2563 7.7227 90.00 108.51 90.00
Sites, in units of the cell vectors:
Ba: 0.0000 0.0000 0.0000
Ba: 0.5000 0.5000 0.0000
Th: 0.0000 0.5000 0.5000
U: 0.5000 0.0000 0.5000
P: 0.2461 0.0000 0.7046
P: 0.2766 0.5000 0.3005
P: 0.7234 0.5000 0.6995
P: 0.7539 0.0000 0.2954

Results
- Size of the total moment: 0.228 μB per atom
- Symmetry: No. 10
- D(E_F): 7.04 states/eV per cell
- Energy of formation: -1.13 eV per atom

---

Entry 13:
This record from Alexandria via LeMat-Bulk describes BaTh2ZnP4 after structural relaxation. The functional is PBE.

Lattice parameters (Å, degrees): 7.3937 7.3937 14.1112 90.00 90.00 146.96
Sites, in units of the cell vectors:
Ba: 0.1081 0.8919 0.7500
Ba: 0.8919 0.1081 0.2500
Th: 0.3667 0.6333 0.5578
Th: 0.3667 0.6333 0.9422
Th: 0.6333 0.3667 0.0578
Th: 0.6333 0.3667 0.4422
Zn: 0.1587 0.8413 0.2500
Zn: 0.8413 0.1587 0.7500
P: 0.0000 0.0000 0.0000
P: 0.0000 0.0000 0.5000
P: 0.2618 0.7382 0.1147
P: 0.2618 0.7382 0.3853
P: 0.4340 0.5660 0.7500
P: 0.5660 0.4340 0.2500
P: 0.7382 0.2618 0.6147
P: 0.7382 0.2618 0.8853

Results
- Size of the total moment: 0.000 μB per atom
- Symmetry: No. 63
- D(E_F): 0.16 states/eV per cell
- Energy of formation: -1.16 eV per atom

---

Entry 14:
This record from Alexandria via LeMat-Bulk describes BaTi2P2 after structural relaxation. The functional is PBE.

Lattice parameters (Å, degrees): 5.9245 5.9245 5.9245 132.49 132.49 69.46
Sites, in units of the cell vectors:
Ba: 0.0000 0.0000 0.0000
Ti: 0.3358 0.3358 0.0000
Ti: 0.6642 0.6642 0.0000
P: 0.2500 0.7500 0.5000
P: 0.7500 0.2500 0.5000

Results
- Size of the total moment: 0.347 μB per atom
- Symmetry: No. 139
- D(E_F): 2.71 states/eV per cell
- Energy of formation: -0.59 eV per atom

---

Entry 15:
This record from Alexandria via LeMat-Bulk describes BaTi3P after structural relaxation. The functional is PBE.

Lattice parameters (Å, degrees): 4.9453 4.9453 4.9453 90.00 90.00 90.00
Sites, in units of the cell vectors:
Ba: 0.0000 0.0000 0.0000
Ti: 0.0000 0.0000 0.5000
Ti: 0.0000 0.5000 0.0000
Ti: 0.5000 0.0000 0.0000
P: 0.5000 0.5000 0.5000

Results
- Size of the total moment: 0.302 μB per atom
- Symmetry: No. 221
- D(E_F): 6.99 states/eV per cell
- Energy of formation: 1.98 eV per atom

---

Entry 16:
This record from Alexandria via LeMat-Bulk describes BaTiP3 after structural relaxation. The functional is PBE.

Lattice parameters (Å, degrees): 5.4196 5.4196 5.4196 90.00 90.00 90.00
Sites, in units of the cell vectors:
Ba: 0.0000 0.0000 0.0000
Ti: 0.5000 0.5000 0.5000
P: 0.0000 0.0000 0.5000
P: 0.0000 0.5000 0.0000
P: 0.5000 0.0000 0.0000

Results
- Size of the total moment: 0.055 μB per atom
- Symmetry: No. 221
- D(E_F): 10.00 states/eV per cell
- Energy of formation: 1.68 eV per atom

---

Entry 17:
This record from Alexandria via LeMat-Bulk describes BaTi3P after structural relaxation. The functional is PBE.

Lattice parameters (Å, degrees): 4.8099 4.8099 4.8099 90.00 90.00 90.00
Sites, in units of the cell vectors:
Ba: 0.0000 0.0000 0.0000
Ti: 0.0000 0.5000 0.5000
Ti: 0.5000 0.0000 0.5000
Ti: 0.5000 0.5000 0.0000
P: 0.5000 0.5000 0.5000

Results
- Size of the total moment: 0.000 μB per atom
- Symmetry: No. 221
- D(E_F): 4.51 states/eV per cell
- Energy of formation: 0.09 eV per atom

---

Entry 18:
This record from Alexandria via LeMat-Bulk describes Ba3TiP3 after structural relaxation. The functional is PBE.

Lattice parameters (Å, degrees): 10.3069 10.3069 13.0821 90.00 90.00 39.20
Sites, in units of the cell vectors:
Ba: 0.0042 0.6419 0.1337
Ba: 0.1419 0.5042 0.6337
Ba: 0.1518 0.8482 0.8400
Ba: 0.3482 0.6518 0.3400
Ba: 0.3581 0.9958 0.1337
Ba: 0.4958 0.8581 0.6337
Ba: 0.5042 0.1419 0.3663
Ba: 0.6419 0.0042 0.8663
Ba: 0.6518 0.3482 0.6600
Ba: 0.8482 0.1518 0.1600
Ba: 0.8581 0.4958 0.3663
Ba: 0.9958 0.3581 0.8663
Ti: 0.0825 0.0825 0.5000
Ti: 0.4175 0.4175 0.0000
Ti: 0.5825 0.5825 0.0000
Ti: 0.9175 0.9175 0.5000
P: 0.0313 0.6602 0.3840
P: 0.1602 0.5313 0.8840
P: 0.2047 0.7953 0.5908
P: 0.2953 0.7047 0.0908
P: 0.3398 0.9687 0.3840
P: 0.4687 0.8398 0.8840
P: 0.5313 0.1602 0.1160
P: 0.6602 0.0313 0.6160
P: 0.7047 0.2953 0.9092
P: 0.7953 0.2047 0.4092
P: 0.8398 0.4687 0.1160
P: 0.9687 0.3398 0.6160

Results
- Size of the total moment: 0.052 μB per atom
- Symmetry: No. 64
- D(E_F): 12.27 states/eV per cell
- Energy of formation: -1.03 eV per atom

---

Entry 19:
This record from Alexandria via LeMat-Bulk describes BaTiP3 after structural relaxation. The functional is PBE.

Lattice parameters (Å, degrees): 4.8482 4.8482 4.8482 90.00 90.00 90.00
Sites, in units of the cell vectors:
Ba: 0.0000 0.0000 0.0000
Ti: 0.5000 0.5000 0.5000
P: 0.0000 0.5000 0.5000
P: 0.5000 0.0000 0.5000
P: 0.5000 0.5000 0.0000

Results
- Size of the total moment: 0.000 μB per atom
- Symmetry: No. 221
- D(E_F): 2.92 states/eV per cell
- Energy of formation: -0.59 eV per atom

---

Entry 20:
This record from Alexandria via LeMat-Bulk describes BaZr2TiP after structural relaxation. The functional is PBE.

Lattice parameters (Å, degrees): 5.3453 5.3453 4.7579 90.00 90.00 90.00
Sites, in units of the cell vectors:
Ba: 0.0000 0.0000 0.0000
Zr: 0.0000 0.5000 0.0000
Zr: 0.5000 0.0000 0.0000
Ti: 0.0000 0.0000 0.5000
P: 0.5000 0.5000 0.5000

Results
- Size of the total moment: 0.000 μB per atom
- Symmetry: No. 123
- D(E_F): 4.96 states/eV per cell
- Energy of formation: 1.94 eV per atom